No. 1
A plane-wave DFT calculation with PBE was carried out for a relaxed TlSb2Pd8 crystal.

Cell and atoms, written as POSCAR:
```
TlSb2Pd8
1.0
-2.5589 2.2761 -2.2865
-4.4603 -4.8138 0.1997
0.2807 3.5537 6.9313
Tl Sb Pd
1 2 8
Cartesian
-1.2795 1.1381 -1.1433 Tl
-3.3499 2.3626 2.3927 Sb
-3.3885 -1.3465 2.4518 Sb
-3.2119 1.2672 4.8560 Pd
-5.7761 -1.6797 1.0841 Pd
-5.3746 0.6412 2.9451 Pd
-3.3727 4.2373 4.2845 Pd
-1.3638 0.3748 1.8994 Pd
-0.9623 2.6957 3.7604 Pd
-3.5265 -0.2512 -0.0115 Pd
-3.3657 -3.2213 0.5600 Pd
```

Energy above the lowest structure with this stoichiometry, meV/atom: 0.0
Raw formation energy, eV per atom: -0.3387
Raw total energy, Ha/atom: -0.187
SG: C2/m
Total moment, μB/f.u.: 0.00

***

No. 2
A plane-wave DFT calculation with PBE was carried out for a relaxed TlSbPd6 crystal.

Cell and atoms, written as POSCAR:
```
TlSbPd6
1.0
-1.5012 4.4120 -0.3189
-2.9458 -1.3469 -4.7673
-2.5060 -0.4791 5.1681
Tl Sb Pd
1 1 6
Cartesian
-2.5427 -0.5514 4.3409 Tl
-3.4399 1.3653 0.8689 Sb
-1.2910 -0.3123 1.7565 Pd
-4.0142 -1.2244 1.9567 Pd
-2.7624 -0.9851 -0.6248 Pd
-2.2070 1.5972 -1.7257 Pd
-4.8937 0.6974 -1.5281 Pd
-3.6587 0.9334 -4.0760 Pd
```

Energy above the lowest structure with this stoichiometry, meV/atom: 0.0
Raw formation energy, eV per atom: -0.2862
Raw total energy, Ha/atom: -0.183
SG: P-6m2
Total moment, μB/f.u.: 0.00

***

Number 1: N(E_F) 0.454 states/eV/atom, mass density 11.305 g/cm³. Number 2: N(E_F) 0.551 states/eV/atom, mass density 11.920 g/cm³.